No. 1
Here is crystalline NaYRu2O8 at its relaxed geometry from the Alexandria database. Energies are from PBE.

Volume ... 158 Å³/cell
Space-group type ... I-4, No. 82
Formation energy without anion corrections ... -140 kJ/mol of atoms

Cell: 5.226 5.226 6.856 Å, 112.40 112.40 90.00°
Each line ends with the local moment (μB).
Sites, in units of the cell vectors:
1 O 0.661 0.269 0.826  0.16
2 O 0.579 0.667 0.658  0.13
3 O 0.443 0.339 0.174  0.16
4 Na 0.000 0.000 0.000  0.00
5 O 0.731 0.835 0.174  0.16
6 Ru 0.500 0.500 0.000  0.97
7 O 0.333 0.921 0.342  0.13
8 O 0.165 0.557 0.826  0.16
9 O 0.079 0.991 0.658  0.13
10 O 0.009 0.421 0.342  0.13
11 Ru 0.250 0.750 0.500  0.85
12 Y 0.750 0.250 0.500  0.05

No. 2
Here is crystalline TaSiSe2 at its relaxed geometry from the Alexandria database. Energies are from PBE.

Volume ... 96 Å³/cell
Space-group type ... Cm, No. 8
Formation energy without anion corrections ... -20 kJ/mol of atoms

Cell: 4.756 4.756 6.544 Å, 80.99 80.99 41.19°
Sites, in units of the cell vectors:
1 Se 0.262 0.262 0.351
2 Se 0.050 0.050 0.899
3 Ta 0.731 0.731 0.660
4 Si 0.457 0.457 0.590

No. 3
Here is crystalline GaCuSnS4 at its relaxed geometry from the Alexandria database. Energies are from PBE.

Volume ... 283 Å³/cell
Space-group type ... Imma, No. 74
Formation energy without anion corrections ... -34 kJ/mol of atoms

Cell: 7.165 7.430 7.430 Å, 59.43 61.17 61.17°
Sites, in units of the cell vectors:
1 S 0.737 0.753 0.253
2 Ga 0.348 0.402 0.902
3 S 0.258 0.753 0.253
4 Sn 0.000 0.000 0.000
5 S 0.758 0.213 0.271
6 Cu 0.500 0.000 0.500
7 Sn 0.000 0.500 0.500
8 S 0.242 0.229 0.287
9 S 0.758 0.771 0.713
10 S 0.742 0.247 0.747
11 Cu 0.000 0.000 0.500
12 S 0.242 0.787 0.729
13 Ga 0.652 0.598 0.098
14 S 0.263 0.247 0.747

No. 4
Here is crystalline Rb2TlFeCl6 at its relaxed geometry from the Alexandria database. Energies are from PBE.

Volume ... 592 Å³/cell
Space-group type ... P2_1/c, No. 14
Formation energy without anion corrections ... -118 kJ/mol of atoms

Cell: 7.433 7.523 10.591 Å, 90.00 90.43 90.00°
Each line ends with the local moment (μB).
Sites, in units of the cell vectors:
1 Rb 0.989 0.047 0.752  0.00
2 Cl 0.328 0.748 0.469  -0.01
3 Cl 0.828 0.752 0.969  -0.01
4 Cl 0.749 0.325 0.968  -0.01
5 Tl 0.500 0.000 0.000  -0.01
6 Cl 0.560 0.008 0.287  -0.01
7 Cl 0.060 0.492 0.787  -0.01
8 Rb 0.511 0.547 0.748  0.00
9 Tl 0.000 0.500 0.500  -0.01
10 Cl 0.249 0.175 0.468  -0.01
11 Cl 0.672 0.252 0.531  -0.01
12 Rb 0.489 0.453 0.252  0.00
13 Cl 0.940 0.508 0.213  -0.01
14 Rb 0.011 0.953 0.248  0.00
15 Cl 0.172 0.248 0.031  -0.01
16 Cl 0.251 0.675 0.032  -0.01
17 Fe 0.000 0.500 0.000  0.99
18 Fe 0.500 0.000 0.500  0.99
19 Cl 0.751 0.825 0.532  -0.01
20 Cl 0.440 0.992 0.713  -0.01

No. 5
Here is crystalline DyTlCuAu at its relaxed geometry from the Alexandria database. Energies are from PBE.

Volume ... 83 Å³/cell
Space-group type ... F-43m, No. 216
Formation enthalpy at 0 K ... -0.34 eV/atom

Cell: 4.888 4.888 4.888 Å, 60.00 60.00 60.00°
Sites, in units of the cell vectors:
1 Cu 0.250 0.250 0.250
2 Dy 0.000 0.000 0.000
3 Au 0.750 0.750 0.750
4 Tl 0.500 0.500 0.500

No. 6
Here is crystalline RbAl2N at its relaxed geometry from the Alexandria database. Energies are from PBE.

Volume ... 185 Å³/cell
Space-group type ... I-42d, No. 122
Formation energy without anion corrections ... 29 kJ/mol of atoms

Cell: 6.497 6.497 6.352 Å, 59.24 59.24 90.00°
Sites, in units of the cell vectors:
1 Al 0.332 0.625 0.250
2 N 0.500 0.500 0.000
3 N 0.250 0.750 0.500
4 Rb 0.000 0.000 0.000
5 Al 0.375 0.582 0.750
6 Al 0.418 0.125 0.250
7 Al 0.875 0.668 0.750
8 Rb 0.750 0.250 0.500

No. 7
Here is crystalline Sr2Li16Pr at its relaxed geometry from the Alexandria database. Energies are from PBE.

Volume ... 472 Å³/cell
Space-group type ... R3m, No. 160
Formation enthalpy at 0 K ... 0.04 eV/atom

Cell: 7.843 7.843 7.843 Å, 82.74 82.74 82.74°
Sites, in units of the cell vectors:
1 Li 0.006 0.006 0.483
2 Li 0.104 0.104 0.104
3 Pr 0.900 0.900 0.900
4 Li 0.158 0.650 0.650
5 Li 0.006 0.483 0.006
6 Li 0.854 0.343 0.343
7 Li 0.343 0.343 0.854
8 Li 0.001 0.706 0.300
9 Li 0.650 0.650 0.158
10 Li 0.483 0.006 0.006
11 Li 0.300 0.001 0.706
12 Li 0.300 0.706 0.001
13 Li 0.706 0.001 0.300
14 Sr 0.342 0.342 0.342
15 Sr 0.648 0.648 0.648
16 Li 0.343 0.854 0.343
17 Li 0.001 0.300 0.706
18 Li 0.650 0.158 0.650
19 Li 0.706 0.300 0.001

No. 8
Here is crystalline GdHfSc2 at its relaxed geometry from the Alexandria database. Energies are from PBE.

Volume ... 100 Å³/cell
Space-group type ... P4/mmm, No. 123
Formation enthalpy at 0 K ... 0.11 eV/atom

Cell: 4.614 4.663 4.663 Å, 90.00 90.00 90.00°
Each line ends with the local moment (μB).
Sites, in units of the cell vectors:
1 Sc 0.000 0.000 0.500  -0.08
2 Sc 0.000 0.500 0.000  -0.08
3 Hf 0.500 0.000 0.000  -0.12
4 Gd 0.500 0.500 0.500  7.12

No. 9
Here is crystalline MnPdC2N at its relaxed geometry from the Alexandria database. Energies are from PBE.

Volume ... 73 Å³/cell
Space-group type ... P4/mmm, No. 123
Formation energy without anion corrections ... 286 kJ/mol of atoms

Cell: 3.718 5.314 3.718 Å, 90.00 90.00 90.00°
Each line ends with the local moment (μB).
Sites, in units of the cell vectors:
1 Pd 0.000 0.000 0.000  0.10
2 C 0.500 0.000 0.000  0.13
3 C 0.000 0.000 0.500  0.35
4 N 0.500 0.500 0.500  -0.18
5 Mn 0.000 0.500 0.000  -0.94

No. 10
Here is crystalline YCu2As2 at its relaxed geometry from the Alexandria database. Energies are from PBE.

Volume ... 175 Å³/cell
Space-group type ... P4/mbm, No. 127
Formation enthalpy at 0 K ... -0.31 eV/atom

Cell: 7.329 7.329 3.250 Å, 90.00 90.00 90.00°
Sites, in units of the cell vectors:
1 As 0.313 0.187 0.500
2 Y 0.500 0.500 0.000
3 Cu 0.885 0.615 0.000
4 Cu 0.615 0.115 0.000
5 As 0.687 0.813 0.500
6 Cu 0.385 0.885 0.000
7 As 0.813 0.313 0.500
8 Cu 0.115 0.385 0.000
9 As 0.187 0.687 0.500
10 Y 0.000 0.000 0.000

No. 11
Here is crystalline Zr2AgSbH at its relaxed geometry from the Alexandria database. Energies are from PBE.

Volume ... 86 Å³/cell
Space-group type ... P4/mmm, No. 123
Uncorrected energy ... -5.8226 eV/atom

Cell: 4.370 4.370 4.490 Å, 90.00 90.00 90.00°
Sites, in units of the cell vectors:
1 Zr 0.000 0.500 0.000
2 Ag 0.000 0.000 0.500
3 Zr 0.500 0.000 0.000
4 Sb 0.500 0.500 0.500
5 H 0.000 0.000 0.000

No. 12
Here is crystalline TaCd2Ru at its relaxed geometry from the Alexandria database. Energies are from PBE.

Volume ... 72 Å³/cell
Space-group type ... Pmmm, No. 47
Formation enthalpy at 0 K ... 0.35 eV/atom

Cell: 2.909 4.517 5.466 Å, 90.00 90.00 90.00°
Each line ends with the local moment (μB).
Sites, in units of the cell vectors:
1 Cd 0.000 0.000 0.005  0.00
2 Ru 0.500 0.500 0.250  0.41
3 Cd 0.000 0.000 0.495  0.00
4 Ta 0.500 0.500 0.750  -0.01

No. 13
Here is crystalline Mg2CdW at its relaxed geometry from the Alexandria database. Energies are from PBE.

Volume ... 74 Å³/cell
Space-group type ... C2/m, No. 12
Formation enthalpy at 0 K ... 0.36 eV/atom

Cell: 5.612 5.612 2.817 Å, 79.38 79.38 116.71°
Sites, in units of the cell vectors:
1 Mg 0.500 0.500 0.000
2 Cd 0.000 0.500 0.500
3 W 0.500 0.000 0.500
4 Mg 0.000 0.000 0.000

No. 14
Here is crystalline Na5B7C3 at its relaxed geometry from the Alexandria database. Energies are from PBE.

Volume ... 313 Å³/cell
Space-group type ... P1, No. 1
Formation enthalpy at 0 K ... 0.15 eV/atom

Cell: 7.688 7.689 10.356 Å, 122.04 122.04 38.12°
Sites, in units of the cell vectors:
1 Na 0.799 0.801 0.500
2 Na 0.998 0.999 0.496
3 Na 0.200 0.201 0.001
4 C 0.032 0.377 0.749
5 B 0.803 0.412 0.749
6 B 0.418 0.781 0.750
7 B 0.559 0.230 0.750
8 B 0.188 0.797 0.750
9 Na 0.199 0.201 0.499
10 Na 0.401 0.400 0.001
11 C 0.627 0.973 0.750
12 B 0.963 0.637 0.750
13 B 0.820 0.182 0.750
14 C 0.563 0.236 0.249
15 Na 0.599 0.601 0.001
16 Na 0.600 0.599 0.499
17 Na 0.399 0.400 0.499
18 C 0.766 0.435 0.251
19 B 0.164 0.838 0.249
20 B 0.620 0.978 0.250
21 Na 0.000 0.001 0.000
22 B 0.448 0.762 0.251
23 B 0.252 0.547 0.249
24 C 0.366 0.035 0.251
25 B 0.962 0.636 0.250
26 C 0.223 0.568 0.750
27 B 0.822 0.179 0.250
28 Na 0.800 0.801 0.002
29 B 0.370 0.041 0.750
30 B 0.039 0.352 0.251